Zr2ScFe SCAN PBEsol geometry; E above lowest polymorph = 0 meV/atom; DFT formation energy = -0.051 eV per atom; SG = No. 71; density of states at the Fermi level = 2.62 states/eV/f.u.
1.0
-1.623 2.432 4.766
1.623 -2.432 4.766
1.623 2.432 -4.766
Zr Sc Fe
2 1 1
Cartesian
0.000 0.000 1.945 Zr
0.000 0.000 7.586 Zr
0.000 2.432 0.000 Sc
1.623 0.000 0.000 Fe


Sr3ScF SCAN PBEsol geometry; SG = No. 221; density of states at the Fermi level = 2.54 states/eV/f.u.; raw formation energy = 220 meV per atom
1.0
6.305 0.000 0.000
0.000 6.305 0.000
0.000 0.000 6.305
Sr Sc F
3 1 1
Cartesian
0.000 0.000 3.153 Sr
0.000 3.153 0.000 Sr
3.153 0.000 0.000 Sr
0.000 0.000 0.000 Sc
3.153 3.153 3.153 F


ZrTcHg SCAN PBEsol geometry; E above lowest polymorph = 0 meV/atom; DFT formation energy = 0.075 eV per atom; SG = No. 156; density of states at the Fermi level = 2.20 states/eV/f.u.
1.0
4.729 0.000 0.000
-2.365 4.096 0.000
0.000 0.000 2.773
Zr Tc Hg
1 1 1
Cartesian
0.000 0.000 0.000 Zr
2.365 1.365 1.951 Tc
0.000 2.730 1.145 Hg


Zr2CdIr SCAN PBEsol geometry; DFT formation energy = -0.474 eV per atom; SG = No. 65; density of states at the Fermi level = 3.64 states/eV/f.u.
1.0
3.046 -3.952 0.000
3.046 3.952 0.000
0.000 0.000 3.081
Zr Cd Ir
2 1 1
Cartesian
1.523 1.976 0.000 Zr
1.523 -1.976 0.000 Zr
0.000 0.000 1.541 Cd
3.046 0.000 1.541 Ir


RbBeMo3 SCAN PBEsol geometry; DFT formation energy = 3.660 eV per atom; SG = No. 221; density of states at the Fermi level = 4.80 states/eV/f.u.
1.0
4.569 0.000 0.000
0.000 4.569 0.000
0.000 0.000 4.569
Rb Be Mo
1 1 3
Cartesian
0.000 0.000 0.000 Rb
2.284 2.284 2.284 Be
0.000 0.000 2.284 Mo
0.000 2.284 0.000 Mo
2.284 0.000 0.000 Mo


CrCuAs2Br SCAN PBEsol geometry; SG = No. 123; density of states at the Fermi level = 1.47 states/eV/f.u.; raw formation energy = 535 meV per atom
1.0
4.497 0.000 0.000
0.000 4.497 0.000
0.000 0.000 5.216
Cr Cu As Br
1 1 2 1
Cartesian
0.000 0.000 0.000 Cr
2.249 2.249 2.608 Cu
0.000 2.249 0.000 As
2.249 0.000 0.000 As
0.000 0.000 2.608 Br


Er6Te2Ru SCAN PBEsol geometry; SG = No. 189; density of states at the Fermi level = 6.97 states/eV/f.u.; raw formation energy = -825 meV per atom
1.0
8.128 0.000 0.000
-4.064 7.039 0.000
0.000 0.000 3.910
Er Te Ru
6 2 1
Cartesian
-0.976 1.690 0.000 Er
-2.467 4.273 1.955 Er
1.952 0.000 0.000 Er
1.597 2.766 1.955 Er
4.934 0.000 1.955 Er
3.088 5.348 0.000 Er
0.000 4.692 0.000 Te
4.064 2.346 0.000 Te
0.000 0.000 1.955 Ru


MgGa2Bi2 SCAN PBEsol geometry; DFT formation energy = 0.047 eV per atom; SG = No. 139; density of states at the Fermi level = 2.01 states/eV/f.u.
1.0
-1.831 1.831 9.182
1.831 -1.831 9.182
1.831 1.831 -9.182
Mg Ga Bi
1 2 2
Cartesian
0.000 0.000 0.000 Mg
1.831 0.000 4.591 Ga
0.000 1.831 4.591 Ga
0.000 0.000 7.303 Bi
0.000 0.000 11.060 Bi


Tl2ZnBi2 SCAN PBEsol geometry; DFT formation energy = 0.089 eV per atom; SG = No. 127; density of states at the Fermi level = 0.82 states/eV/f.u.
1.0
7.370 0.000 0.000
0.000 7.370 0.000
0.000 0.000 5.497
Tl Zn Bi
4 2 4
Cartesian
1.236 2.449 0.000 Tl
2.449 6.134 0.000 Tl
4.920 1.236 0.000 Tl
6.134 4.920 0.000 Tl
0.000 0.000 2.748 Zn
3.685 3.685 2.748 Zn
1.090 4.775 2.748 Bi
2.595 1.090 2.748 Bi
4.775 6.280 2.748 Bi
6.280 2.595 2.748 Bi


LaAuCl SCAN PBEsol geometry; E above lowest polymorph = 202 meV/atom; SG = No. 216; density of states at the Fermi level = 2.37 states/eV/f.u.; raw formation energy = -1143 meV per atom
1.0
0.000 3.348 3.348
3.348 0.000 3.348
3.348 3.348 0.000
La Au Cl
1 1 1
Cartesian
0.000 0.000 0.000 La
3.348 3.348 3.348 Au
5.023 5.023 5.023 Cl


MnNi4Au SCAN PBEsol geometry; DFT formation energy = -0.102 eV per atom; SG = No. 216; density of states at the Fermi level = 5.61 states/eV/f.u.
1.0
0.000 3.296 3.296
3.296 0.000 3.296
3.296 3.296 0.000
Mn Ni Au
1 4 1
Cartesian
0.000 0.000 0.000 Mn
2.472 2.472 2.472 Ni
4.121 4.121 2.472 Ni
4.121 2.472 4.121 Ni
2.472 4.121 4.121 Ni
4.944 4.944 4.944 Au


SrTeOsN2 SCAN PBEsol geometry; SG = No. 123; density of states at the Fermi level = 2.43 states/eV/f.u.; raw formation energy = 298 meV per atom
1.0
4.036 0.000 0.000
0.000 4.036 0.000
0.000 0.000 5.596
Sr Te Os N
1 1 1 2
Cartesian
0.000 0.000 0.000 Sr
2.018 2.018 0.000 Te
2.018 2.018 2.798 Os
0.000 2.018 2.798 N
2.018 0.000 2.798 N


LaYHg2 SCAN PBEsol geometry; DFT formation energy = -0.744 eV per atom; SG = No. 123; density of states at the Fermi level = 2.58 states/eV/f.u.
1.0
3.675 0.000 0.000
0.000 3.675 0.000
0.000 0.000 7.760
La Y Hg
1 1 2
Cartesian
0.000 0.000 0.000 La
0.000 0.000 3.880 Y
1.838 1.838 2.127 Hg
1.838 1.838 5.632 Hg


SrMgNO2 SCAN PBEsol geometry; SG = No. 123; density of states at the Fermi level = 2.17 states/eV/f.u.; raw formation energy = -1287 meV per atom
1.0
3.999 0.000 0.000
0.000 3.999 0.000
0.000 0.000 4.068
Sr Mg N O
1 1 1 2
Cartesian
0.000 0.000 0.000 Sr
1.999 1.999 2.034 Mg
1.999 1.999 0.000 N
0.000 1.999 2.034 O
1.999 0.000 2.034 O


TlTe2Cl SCAN PBEsol geometry; E above lowest polymorph = 0 meV/atom; SG = No. 65; density of states at the Fermi level = 2.59 states/eV/f.u.; raw formation energy = -193 meV per atom
1.0
2.930 -6.411 0.000
2.930 6.411 0.000
0.000 0.000 3.093
Tl Te Cl
1 2 1
Cartesian
0.000 0.000 0.000 Tl
1.465 3.205 1.547 Te
1.465 -3.205 1.547 Te
2.930 0.000 0.000 Cl


Li2IrAu SCAN PBEsol geometry; DFT formation energy = -0.357 eV per atom; SG = No. 166; density of states at the Fermi level = 1.88 states/eV/f.u.
1.0
1.359 0.785 8.792
-1.359 0.785 8.792
0.000 -1.570 8.792
Li Ir Au
2 1 1
Cartesian
0.000 0.000 6.474 Li
0.000 0.000 19.902 Li
0.000 0.000 13.188 Ir
0.000 0.000 0.000 Au


K4MnO4 SCAN PBEsol geometry; SG = No. 2; raw formation energy = -1776 meV per atom
1.0
6.226 0.000 0.000
2.436 5.935 0.000
2.882 0.630 8.728
K Mn O
8 2 8
Cartesian
2.002 1.917 3.810 K
2.824 4.612 1.326 K
2.424 1.541 0.308 K
5.230 1.737 5.454 K
6.315 4.829 3.275 K
9.121 5.025 8.421 K
8.721 1.954 7.403 K
9.543 4.649 4.918 K
6.106 4.861 6.555 Mn
5.438 1.704 2.174 Mn
4.778 3.780 7.073 O
5.424 6.114 5.483 O
6.822 5.990 7.740 O
4.362 2.919 2.930 O
7.183 3.646 5.799 O
4.722 0.575 0.989 O
6.120 0.452 3.246 O
6.767 2.786 1.656 O


CsAlCo3 SCAN PBEsol geometry; DFT formation energy = 1.197 eV per atom; SG = No. 221; density of states at the Fermi level = 1.73 states/eV/f.u.
1.0
4.530 0.000 0.000
0.000 4.530 0.000
0.000 0.000 4.530
Cs Al Co
1 1 3
Cartesian
0.000 0.000 0.000 Cs
2.265 2.265 2.265 Al
0.000 2.265 2.265 Co
2.265 0.000 2.265 Co
2.265 2.265 0.000 Co


Li2ReC SCAN PBEsol geometry; DFT formation energy = 0.680 eV per atom; SG = No. 122; density of states at the Fermi level = 1.59 states/eV/f.u.
1.0
-3.289 3.289 2.017
3.289 -3.289 2.017
3.289 3.289 -2.017
Li Re C
4 2 2
Cartesian
1.644 1.163 -0.504 Li
2.125 -1.644 2.521 Li
1.644 2.125 1.513 Li
1.163 4.933 0.504 Li
3.289 0.000 1.008 Re
0.000 0.000 2.017 Re
0.000 0.000 0.000 C
0.000 3.289 1.008 C


CoGeMo3 SCAN PBEsol geometry; DFT formation energy = 1.636 eV per atom; SG = No. 221; density of states at the Fermi level = 5.22 states/eV/f.u.
1.0
4.503 0.000 0.000
0.000 4.503 0.000
0.000 0.000 4.503
Co Ge Mo
1 1 3
Cartesian
0.000 0.000 0.000 Co
2.252 2.252 2.252 Ge
0.000 2.252 2.252 Mo
2.252 0.000 2.252 Mo
2.252 2.252 0.000 Mo